Record 1
The following is a PBE calculation of a geometry-optimized CdFe2Pd7 structure, from Alexandria.

Unit cell a=4.341 b=7.154 c=7.154 alpha=119.47 beta=90.00 gamma=90.00
Sites, in units of the cell vectors:
Pd 0.000 0.781 0.219
Pd 0.500 0.070 0.306
Pd 0.500 0.694 0.930
Pd 0.500 0.500 0.500
Pd 0.500 0.306 0.070
Pd 0.000 0.219 0.781
Pd 0.500 0.930 0.694
Cd 0.000 0.000 0.000
Fe 0.500 0.301 0.699
Fe 0.500 0.699 0.301

Output
- Crystal system: orthorhombic
- Total DFT energy (no corrections): -5.07 eV per atom
- Space group: No. 65
- Magnetic moment: 0.847 μB/atom
- Formation enthalpy at 0 K: 0.350 eV/atom

---

Record 2
The following is a PBE calculation of a geometry-optimized CdFe2Pd2 structure, from Alexandria.

Unit cell a=3.160 b=3.160 c=7.918 alpha=78.49 beta=78.49 gamma=90.00
Sites, in units of the cell vectors:
Fe 0.250 0.750 0.500
Fe 0.750 0.250 0.500
Pd 0.612 0.612 0.777
Pd 0.388 0.388 0.223
Cd 0.000 0.000 0.000

Output
- Crystal system: tetragonal
- Total DFT energy (no corrections): -5.34 eV per atom
- E above lowest polymorph: 273 meV/atom
- Space group: No. 139
- Magnetic moment: 0.000 μB/atom
- Formation enthalpy at 0 K: 0.303 eV/atom